Tm2GaTe: optimized geometry, PBE-GGA.

a b c (Å): 11.7548 11.7548 4.0958
angles (deg): 90.00 90.00 158.90
Sites, in units of the cell vectors:
Tm (0.0616, 0.9384, 0.7500)
Tm (0.3357, 0.6643, 0.7500)
Tm (0.6643, 0.3357, 0.2500)
Tm (0.9384, 0.0616, 0.2500)
Ga (0.4618, 0.5382, 0.7500)
Ga (0.5382, 0.4618, 0.2500)
Te (0.1950, 0.8050, 0.7500)
Te (0.8050, 0.1950, 0.2500)

Relative energy among the computed polymorphs, kJ/mol of atoms: 0.0
Space group: No. 63
Calculated volume, Å³/atom: 25.46
Magnetization, μB per cell: 0.000